No. 1
DFT (GGA-PBE) results for a geometry-optimized Pr5Dy4Th structure.

Cell and atoms, written as POSCAR:
```
Pr5Dy4Th
1.0
6.546 0.542 -0.120
-0.973 6.007 -2.669
1.922 0.571 8.506
Th Dy Pr
1 4 5
Cartesian
3.273 0.271 -0.060
6.295 2.303 -0.066
3.375 0.672 5.698
1.200 4.817 5.783
4.120 6.448 0.019
5.267 4.434 2.999
2.786 3.274 -1.394
2.227 2.686 2.718
0.837 5.183 0.425
6.657 1.937 5.293
```

The density comes out at 7.6 g cm⁻³. The formation energy is 0.17 eV/atom. Its crystal system is triclinic. The final energy is -4.81 eV/atom.



No. 2
DFT (GGA-PBE) results for a geometry-optimized Pr2Dy12Th5 structure.

Cell and atoms, written as POSCAR:
```
Pr2Dy12Th5
1.0
-5.708 -7.304 7.054
10.293 -0.223 -1.521
-5.306 7.131 3.091
Dy Th Pr
12 5 2
Cartesian
-1.635 0.827 4.560
-3.765 -1.623 4.891
-4.186 3.039 4.663
0.914 -1.223 4.064
0.057 1.233 1.323
3.639 2.264 0.697
3.465 -3.436 3.962
-4.360 -2.660 7.928
-0.778 -1.630 7.301
-6.985 -0.541 8.121
6.264 0.145 0.503
3.044 1.227 3.733
-3.637 0.766 7.468
-0.067 3.703 3.780
2.916 -1.162 1.156
-2.653 3.566 1.545
-0.654 -4.099 4.845
-1.638 -2.096 2.025
-4.070 -5.208 5.030
```

The density comes out at 9.0 g cm⁻³. The formation energy is 0.16 eV/atom. Its crystal system is monoclinic. The final energy is -5.20 eV/atom.



No. 3
DFT (GGA-PBE) results for a geometry-optimized Pr3DyTh3 structure.

Cell and atoms, written as POSCAR:
```
Pr3DyTh3
1.0
5.938 0.000 0.000
0.000 8.356 -4.825
0.000 0.000 9.649
Th Pr Dy
6 6 2
Cartesian
4.453 3.234 2.883
4.453 4.243 6.184
1.484 7.477 -0.583
1.484 4.113 -1.359
4.453 0.880 5.407
1.484 5.123 1.942
4.453 2.051 -0.749
1.484 6.306 5.574
4.453 7.980 -2.674
1.484 0.376 7.498
1.484 1.674 1.401
4.453 6.682 3.423
4.453 5.571 0.000
1.484 2.785 4.825
```

The density comes out at 8.9 g cm⁻³. The formation energy is 0.07 eV/atom. Its crystal system is hexagonal. The final energy is -5.81 eV/atom.



No. 4
DFT (GGA-PBE) results for a geometry-optimized Pr7Dy16Th6 structure.

Cell and atoms, written as POSCAR:
```
Pr7Dy16Th6
1.0
9.664 0.000 5.580
3.221 9.111 5.580
0.000 0.000 11.159
Th Dy Pr
6 16 7
Cartesian
7.531 3.017 13.043
7.531 3.017 9.275
4.267 3.017 11.159
8.618 6.094 11.159
5.355 6.094 9.275
5.355 6.094 13.043
8.482 5.998 7.627
11.319 8.004 19.606
1.566 1.107 8.447
6.354 8.004 16.739
11.319 8.004 13.872
10.521 3.114 11.159
2.365 5.998 11.159
9.664 3.322 16.739
3.221 5.789 5.580
4.404 3.114 14.691
4.404 3.114 7.627
1.566 1.107 2.713
8.482 5.998 14.691
6.532 1.107 5.580
6.443 0.230 11.159
6.443 8.881 11.159
1.611 4.556 2.790
4.832 0.000 2.790
1.611 4.556 8.369
0.000 0.000 0.000
0.000 0.000 5.580
6.443 4.556 5.580
4.832 0.000 8.369
```

The density comes out at 8.4 g cm⁻³. The formation energy is 0.33 eV/atom. Its crystal system is cubic. The final energy is -4.90 eV/atom.



No. 5
DFT (GGA-PBE) results for a geometry-optimized PrDy12Th3 structure.

Cell and atoms, written as POSCAR:
```
PrDy12Th3
1.0
5.032 0.000 0.000
0.000 5.032 0.000
0.000 0.000 20.105
Th Dy Pr
3 12 1
Cartesian
0.000 0.000 5.059
0.000 0.000 10.052
0.000 0.000 15.046
2.516 2.516 15.050
0.000 2.516 17.520
0.000 2.516 12.544
2.516 2.516 10.052
2.516 0.000 2.585
2.516 0.000 17.520
0.000 2.516 7.561
2.516 2.516 5.055
2.516 0.000 7.561
2.516 2.516 0.000
2.516 0.000 12.544
0.000 2.516 2.585
0.000 0.000 0.000
```

The density comes out at 9.1 g cm⁻³. The formation energy is 0.03 eV/atom. Its crystal system is tetragonal. The final energy is -5.11 eV/atom.



No. 6
DFT (GGA-PBE) results for a geometry-optimized Pr5Dy4Th4 structure.

Cell and atoms, written as POSCAR:
```
Pr5Dy4Th4
1.0
-3.957 -0.873 -3.088
-1.803 -9.390 0.764
-7.800 1.250 5.440
Pr Th Dy
5 4 4
Cartesian
-10.235 -7.538 2.639
0.000 0.000 0.000
-8.803 -1.573 3.320
-4.758 -7.440 -0.204
-3.326 -1.475 0.476
-9.850 -4.264 1.220
-3.711 -4.749 1.896
-6.985 -6.105 2.272
-6.575 -2.909 0.843
-5.515 -0.136 2.903
-4.362 -4.229 -1.620
-8.046 -8.877 0.213
-9.199 -4.784 4.736
```

The density comes out at 8.7 g cm⁻³. The formation energy is 0.04 eV/atom. Its crystal system is tetragonal. The final energy is -5.50 eV/atom.



No. 7
DFT (GGA-PBE) results for a geometry-optimized Pr6Dy4Th structure.

Cell and atoms, written as POSCAR:
```
Pr6Dy4Th
1.0
-5.745 1.475 0.232
2.061 -4.392 3.020
4.920 16.030 19.953
Pr Dy Th
12 8 2
Cartesian
2.620 8.123 13.254
-2.873 0.738 0.116
1.383 4.276 7.080
-0.413 8.752 10.092
0.705 2.068 4.331
0.720 12.323 15.455
0.530 11.045 18.873
0.515 0.790 7.749
-0.148 8.837 16.124
-2.860 0.181 3.964
4.096 12.932 19.240
-1.384 4.990 9.950
-0.771 6.878 13.146
-0.032 -0.405 1.793
1.267 13.518 21.411
1.121 2.745 10.323
0.114 10.368 12.881
-0.120 -1.298 5.289
1.356 14.412 17.915
2.006 6.235 10.058
3.337 10.434 16.328
-2.101 2.680 6.876
```

The density comes out at 7.6 g cm⁻³. The formation energy is 0.14 eV/atom. Its crystal system is orthorhombic. The final energy is -4.82 eV/atom.



No. 8
DFT (GGA-PBE) results for a geometry-optimized Pr4Dy4Th structure.

Cell and atoms, written as POSCAR:
```
Pr4Dy4Th
1.0
-4.250 -1.677 -2.383
1.914 -6.524 -4.395
-3.712 -5.348 4.813
Dy Pr Th
4 4 1
Cartesian
0.038 -6.132 -1.324
-6.086 -7.417 -0.641
-3.432 -5.077 -1.449
-2.616 -8.472 -0.516
-1.533 -5.502 -4.538
-2.644 -2.314 0.773
-3.404 -11.235 -2.738
-4.516 -8.047 2.573
0.000 0.000 0.000
```

The density comes out at 7.9 g cm⁻³. The formation energy is 0.04 eV/atom. Its crystal system is tetragonal. The final energy is -4.95 eV/atom.